## BaSc (PBE)

Data for a geometry-optimized BaSc structure.

abc: 3.7351 3.7351 6.1305
angles: 90.00 90.00 120.00
Fractional coordinates of all 2 atoms:
Ba1 0.0000 0.0000 0.0000
Sc1 0.6667 0.3333 0.5000

## Properties
Energy of formation ... 0.48 eV/atom
Excess energy over the best structure of this formula in the dataset ... 243 meV per atom
Density ... 4.1 Mg/m³
Space group ... P-6m2 (187)
Electronic total energy ... -3.65 eV/atom